The following is a DFT calculation (PBE-GGA) of crystalline Ba9Sr2Tl3 at its relaxed geometry.

## Properties
**Final energy**: -2.140 eV/atom
**M_tot**: 0.009 μB/cell
**Energy relative to the elements**: -0.157 eV/atom
**Space-group type**: C2/c

Cell: 11.021 11.021 15.172 Å, 89.59 111.50 120.35°
Sites, in units of the cell vectors:
1 Ba 0.416 0.918 0.748
2 Ba 0.584 0.082 0.252
3 Ba 0.670 0.668 0.752
4 Ba 0.330 0.332 0.248
5 Ba 0.433 0.624 0.927
6 Ba 0.567 0.376 0.073
7 Ba 0.197 0.505 0.573
8 Ba 0.803 0.495 0.427
9 Ba 0.922 0.172 0.750
10 Ba 0.078 0.828 0.250
11 Ba 0.144 0.983 0.944
12 Ba 0.856 0.017 0.056
13 Ba 0.540 0.200 0.556
14 Ba 0.460 0.800 0.444
15 Ba 0.897 0.857 0.571
16 Ba 0.103 0.143 0.429
17 Ba 0.786 0.326 0.929
18 Ba 0.214 0.674 0.071
19 Sr 0.336 0.249 0.749
20 Sr 0.664 0.751 0.251
21 Sr 0.000 0.587 0.751
22 Sr 0.000 0.413 0.249
23 Tl 0.500 0.000 0.000
24 Tl 0.500 0.500 0.500
25 Tl 0.835 0.164 0.499
26 Tl 0.165 0.836 0.501
27 Tl 0.165 0.336 0.001
28 Tl 0.835 0.664 0.999